Density functional theory data (PBE) for a geometry-optimized NiSn2W structure.

relative energy among the computed polymorphs	0	meV per atom

Cell: 6.5817 6.5817 6.5817 Å, 90.00 90.00 90.00°
Space group Fm-3m (No. 225)
Unique sites:
1 Ni 0.0000 0.0000 0.0000 (multiplicity 4)
2 Sn 0.2500 0.2500 0.2500 (multiplicity 8)
3 W 0.0000 0.0000 0.5000 (multiplicity 4)

Density functional theory data (PBE) for a geometry-optimized CdBSb2 structure.

relative energy among the computed polymorphs	670	meV per atom
E_form (uncorrected)	1.0076	eV/atom

Cell: 7.0434 7.0434 7.0434 Å, 90.00 90.00 90.00°
Space group Fm-3m (No. 225)
Unique sites:
1 Cd 0.0000 0.0000 0.0000 (multiplicity 4)
2 B 0.0000 0.0000 0.5000 (multiplicity 4)
3 Sb 0.2500 0.2500 0.2500 (multiplicity 8)

Density functional theory data (PBE) for a geometry-optimized BaTl3Pb structure.

relative energy among the computed polymorphs	5	meV per atom

Cell: 7.0630 7.0636 8.0026 Å, 90.00 115.88 90.00°
Space group Cm (No. 8)
Unique sites:
1 Ba 0.0000 0.0000 0.0000 (multiplicity 2)
2 Tl 0.3856 0.0000 0.7663 (multiplicity 2)
3 Tl 0.4937 0.2520 0.4870 (multiplicity 4)
4 Pb 0.0994 0.5000 0.2017 (multiplicity 2)

Density functional theory data (PBE) for a geometry-optimized Tl2ZnPt2 structure.

relative energy among the computed polymorphs	250	meV per atom

Cell: 8.4016 8.4016 2.9485 Å, 90.00 90.00 90.00°
Space group P4/mbm (No. 127)
Unique sites:
1 Tl 0.1755 0.3245 0.0000 (multiplicity 4)
2 Zn 0.0000 0.0000 0.0000 (multiplicity 2)
3 Pt 0.1214 0.6214 0.5000 (multiplicity 4)

Density functional theory data (PBE) for a geometry-optimized YSc2VN structure.

E_form (uncorrected)	1.5116	eV/atom

Cell: 5.4940 5.4940 4.1022 Å, 90.00 90.00 90.00°
Space group P4/mmm (No. 123)
Unique sites:
1 Y 0.0000 0.0000 0.0000 (multiplicity 1)
2 Sc 0.0000 0.5000 0.0000 (multiplicity 2)
3 V 0.5000 0.5000 0.5000 (multiplicity 1)
4 N 0.0000 0.0000 0.5000 (multiplicity 1)

Density functional theory data (PBE) for a geometry-optimized Fe2CuBr structure.

relative energy among the computed polymorphs	362	meV per atom
E_form (uncorrected)	0.7050	eV/atom

Cell: 3.6897 3.6897 4.3974 Å, 90.00 90.00 90.00°
Space group P4/mmm (No. 123)
Unique sites:
1 Fe 0.0000 0.5000 0.0000 (multiplicity 2)
2 Cu 0.0000 0.0000 0.5000 (multiplicity 1)
3 Br 0.5000 0.5000 0.5000 (multiplicity 1)

Density functional theory data (PBE) for a geometry-optimized Ni2Bi4Rh structure.

relative energy among the computed polymorphs	0	meV per atom

Cell: 4.0992 6.8381 6.9225 Å, 119.23 90.10 107.38°
Space group P-1 (No. 2)
Unique sites:
1 Ni 0.2492 0.4989 0.2585 (multiplicity 2)
2 Bi 0.1276 0.2558 0.4730 (multiplicity 2)
3 Bi 0.3710 0.7421 0.0420 (multiplicity 2)
4 Rh 0.0000 0.0000 0.0000 (multiplicity 1)

Density functional theory data (PBE) for a geometry-optimized InFeSb3 structure.

relative energy among the computed polymorphs	0	meV per atom
E_form (uncorrected)	0.3442	eV/atom

Cell: 5.0807 5.0807 5.0807 Å, 90.00 90.00 90.00°
Space group Pm-3m (No. 221)
Unique sites:
1 In 0.0000 0.0000 0.0000 (multiplicity 1)
2 Fe 0.5000 0.5000 0.5000 (multiplicity 1)
3 Sb 0.0000 0.5000 0.5000 (multiplicity 3)

Density functional theory data (PBE) for a geometry-optimized Pr8GaHg2 structure.

relative energy among the computed polymorphs	45	meV per atom

Cell: 5.2138 8.7852 15.0471 Å, 90.00 90.00 90.00°
Space group Immm (No. 71)
Unique sites:
1 Pr 0.0000 0.0000 0.1320 (multiplicity 4)
2 Pr 0.0000 0.2279 0.3429 (multiplicity 8)
3 Pr 0.0000 0.3187 0.0000 (multiplicity 4)
4 Ga 0.0000 0.5000 0.5000 (multiplicity 2)
5 Hg 0.0000 0.5000 0.1969 (multiplicity 4)

Density functional theory data (PBE) for a geometry-optimized MgBePt structure.

relative energy among the computed polymorphs	109	meV per atom

Cell: 2.8454 3.3177 9.1334 Å, 90.00 90.00 90.00°
Space group Imm2 (No. 44)
Unique sites:
1 Mg 0.0000 0.0000 0.0000 (multiplicity 2)
2 Be 0.0000 0.0000 0.2931 (multiplicity 2)
3 Pt 0.0000 0.0000 0.6972 (multiplicity 2)

Density functional theory data (PBE) for a geometry-optimized SrIn2NiSb structure.

E_form (uncorrected)	-0.2629	eV/atom

Cell: 4.9626 4.9626 5.4958 Å, 90.00 90.00 90.00°
Space group P4/mmm (No. 123)
Unique sites:
1 Sr 0.0000 0.0000 0.0000 (multiplicity 1)
2 In 0.0000 0.5000 0.5000 (multiplicity 2)
3 Ni 0.5000 0.5000 0.5000 (multiplicity 1)
4 Sb 0.5000 0.5000 0.0000 (multiplicity 1)

Density functional theory data (PBE) for a geometry-optimized Sm5CdCu4 structure.

calculated total energy	-4.2925	eV per atom

Cell: 3.5668 3.5668 18.3722 Å, 90.00 90.00 90.00°
Space group P4/mmm (No. 123)
Unique sites:
1 Sm 0.0000 0.0000 0.0000 (multiplicity 1)
2 Sm 0.0000 0.0000 0.1926 (multiplicity 2)
3 Sm 0.0000 0.0000 0.3833 (multiplicity 2)
4 Cd 0.5000 0.5000 0.5000 (multiplicity 1)
5 Cu 0.5000 0.5000 0.0962 (multiplicity 2)
6 Cu 0.5000 0.5000 0.2891 (multiplicity 2)

Density functional theory data (PBE) for a geometry-optimized YNiI structure.

E_form (uncorrected)	-0.8851	eV/atom

Cell: 4.0671 4.0671 35.9412 Å, 90.00 90.00 120.00°
Space group R-3m (No. 166, hexagonal axes)
Unique sites:
1 Y 0.0000 0.0000 0.0500 (multiplicity 6)
2 Ni 0.0000 0.0000 0.3357 (multiplicity 6)
3 I 0.0000 0.0000 0.2238 (multiplicity 6)